# 1
# Na2MnSnAs, optimized geometry, DFT GGA-PBE
# - calculated total energy (eV per atom) = -3.37
data_Na2MnSnAs
_chemical_formula_sum 'Na2 Mn1 Sn1 As1'
_space_group_name_H-M_alt 'P 4/m m m'
_space_group_IT_number 123
_space_group_name_Hall '-P 4 2'
_cell_length_a 5.9036
_cell_length_b 5.9036
_cell_length_c 5.2533
_cell_angle_alpha 90.00
_cell_angle_beta 90.00
_cell_angle_gamma 90.00
loop_
_atom_site_label
_atom_site_fract_x
_atom_site_fract_y
_atom_site_fract_z
Na1 0.0000 0.5000 0.0000
Mn1 0.0000 0.0000 0.5000
Sn1 0.5000 0.5000 0.0000
As1 0.5000 0.5000 0.5000

---

# 2
# Na2MnTe4As, optimized geometry, DFT GGA-PBE
# - E_form (uncorrected) (eV per atom) = -0.40
data_Na2MnTe4As
_chemical_formula_sum 'Na2 Mn1 Te4 As1'
_space_group_name_H-M_alt 'P 1 2/m 1'
_space_group_IT_number 10
_cell_length_a 7.1319
_cell_length_b 4.1592
_cell_length_c 7.9619
_cell_angle_alpha 90.00
_cell_angle_beta 107.48
_cell_angle_gamma 90.00
loop_
_space_group_symop_operation_xyz
'x,y,z'
'-x,-y,-z'
'-x,y,-z'
'x,-y,z'
loop_
_atom_site_label
_atom_site_fract_x
_atom_site_fract_y
_atom_site_fract_z
Na1 0.0000 0.0000 0.0000
Na2 0.5000 0.5000 0.0000
Mn1 0.0000 0.5000 0.5000
Te1 0.2289 0.0000 0.7067
Te2 0.2527 0.5000 0.2925
As1 0.5000 0.0000 0.5000

---

# 3
# NaMnZnAs, optimized geometry, DFT GGA-PBE
# - calculated total energy (eV per atom) = -4.25
data_NaMnZnAs
_chemical_formula_sum 'Na2 Mn2 Zn2 As2'
_space_group_name_H-M_alt 'P 4/n m m'
_space_group_IT_number 129
_cell_length_a 3.7752
_cell_length_b 3.7752
_cell_length_c 11.2197
_cell_angle_alpha 90.00
_cell_angle_beta 90.00
_cell_angle_gamma 90.00
loop_
_space_group_symop_operation_xyz
'x,y,z'
'-x,-y,-z'
'-y+1/2,x,z'
'y+1/2,-x,-z'
'-x+1/2,-y+1/2,z'
'x+1/2,y+1/2,-z'
'y,-x+1/2,z'
'-y,x+1/2,-z'
'x+1/2,-y,-z'
'-x+1/2,y,z'
'-y,-x,-z'
'y,x,z'
'-x,y+1/2,-z'
'x,-y+1/2,z'
'y+1/2,x+1/2,-z'
'-y+1/2,-x+1/2,z'
loop_
_atom_site_label
_atom_site_fract_x
_atom_site_fract_y
_atom_site_fract_z
Na1 0.2500 0.2500 0.2410
Mn1 0.2500 0.7500 0.5000
Zn1 0.2500 0.7500 0.0000
As1 0.2500 0.2500 0.6323

---

# 4
# MnNb2As2, optimized geometry, DFT GGA-PBE
# - calculated total energy (eV per atom) = -7.93
data_MnNb2As2
_chemical_formula_sum 'Mn2 Nb4 As4'
_space_group_name_H-M_alt 'P 4/m b m'
_space_group_IT_number 127
_space_group_name_Hall '-P 4 2ab'
_cell_length_a 6.0893
_cell_length_b 6.0893
_cell_length_c 4.2294
_cell_angle_alpha 90.00
_cell_angle_beta 90.00
_cell_angle_gamma 90.00
loop_
_atom_site_label
_atom_site_fract_x
_atom_site_fract_y
_atom_site_fract_z
Mn1 0.0000 0.0000 0.0000
Nb1 0.1625 0.3375 0.5000
As1 0.1491 0.6491 0.0000

---

# 5
# MnNb3As, optimized geometry, DFT GGA-PBE
# - offset from the most stable computed form (eV per atom) = 0.000
data_MnNb3As
_chemical_formula_sum 'Mn1 Nb3 As1'
_space_group_name_H-M_alt 'P m -3 m'
_space_group_IT_number 221
_space_group_name_Hall '-P 4 2 3'
_cell_length_a 4.6004
_cell_length_b 4.6004
_cell_length_c 4.6004
_cell_angle_alpha 90.00
_cell_angle_beta 90.00
_cell_angle_gamma 90.00
loop_
_atom_site_label
_atom_site_fract_x
_atom_site_fract_y
_atom_site_fract_z
Mn1 0.0000 0.0000 0.0000
Nb1 0.0000 0.0000 0.5000
As1 0.5000 0.5000 0.5000

---

# 6
# MnNbAs2, optimized geometry, DFT GGA-PBE
# - calculated total energy (eV per atom) = -6.75
data_MnNbAs2
_chemical_formula_sum 'Mn4 Nb4 As8'
_space_group_name_H-M_alt 'I -4 2 d'
_space_group_IT_number 122
_space_group_name_Hall 'I -4 2bw'
_cell_length_a 5.3428
_cell_length_b 5.3428
_cell_length_c 11.9633
_cell_angle_alpha 90.00
_cell_angle_beta 90.00
_cell_angle_gamma 90.00
loop_
_atom_site_label
_atom_site_fract_x
_atom_site_fract_y
_atom_site_fract_z
Mn1 0.0000 0.0000 0.0000
Nb1 0.0000 0.0000 0.5000
As1 0.2074 0.2500 0.1250

---

# 7
# Mn2NbAs2, optimized geometry, DFT GGA-PBE
# - calculated total energy (eV per atom) = -7.58
data_Mn2NbAs2
_chemical_formula_sum 'Mn4 Nb2 As4'
_space_group_name_H-M_alt 'P 4/m b m'
_space_group_IT_number 127
_space_group_name_Hall '-P 4 2ab'
_cell_length_a 6.9767
_cell_length_b 6.9767
_cell_length_c 2.8596
_cell_angle_alpha 90.00
_cell_angle_beta 90.00
_cell_angle_gamma 90.00
loop_
_atom_site_label
_atom_site_fract_x
_atom_site_fract_y
_atom_site_fract_z
Mn1 0.1402 0.3598 0.0000
Nb1 0.0000 0.0000 0.5000
As1 0.1532 0.6532 0.5000

---

# 8
# MnNbAs2, optimized geometry, DFT GGA-PBE
# - calculated total energy (eV per atom) = -7.28
data_MnNbAs2
_chemical_formula_sum 'Mn4 Nb4 As8'
_space_group_name_H-M_alt 'F m -3 m'
_space_group_IT_number 225
_space_group_name_Hall '-F 4 2 3'
_cell_length_a 6.3383
_cell_length_b 6.3383
_cell_length_c 6.3383
_cell_angle_alpha 90.00
_cell_angle_beta 90.00
_cell_angle_gamma 90.00
loop_
_atom_site_label
_atom_site_fract_x
_atom_site_fract_y
_atom_site_fract_z
Mn1 0.0000 0.0000 0.0000
Nb1 0.0000 0.0000 0.5000
As1 0.2500 0.2500 0.2500

---

# 9
# Mn2NbAs, optimized geometry, DFT GGA-PBE
# - calculated total energy (eV per atom) = -8.00
data_Mn2NbAs
_chemical_formula_sum 'Mn8 Nb4 As4'
_space_group_name_H-M_alt 'I -4 2 d'
_space_group_IT_number 122
_space_group_name_Hall 'I -4 2bw'
_cell_length_a 7.0202
_cell_length_b 7.0202
_cell_length_c 5.2226
_cell_angle_alpha 90.00
_cell_angle_beta 90.00
_cell_angle_gamma 90.00
loop_
_atom_site_label
_atom_site_fract_x
_atom_site_fract_y
_atom_site_fract_z
Mn1 0.2229 0.2500 0.1250
Nb1 0.0000 0.0000 0.5000
As1 0.0000 0.0000 0.0000

---

# 10
# MnNbAs2, optimized geometry, DFT GGA-PBE
# - calculated total energy (eV per atom) = -7.30
data_MnNbAs2
_chemical_formula_sum 'Mn3 Nb3 As6'
_space_group_name_H-M_alt 'R -3 m'
_space_group_IT_number 166
_space_group_name_Hall '-R 3 2"'
_cell_length_a 3.5721
_cell_length_b 3.5721
_cell_length_c 19.7455
_cell_angle_alpha 90.00
_cell_angle_beta 90.00
_cell_angle_gamma 120.00
loop_
_atom_site_label
_atom_site_fract_x
_atom_site_fract_y
_atom_site_fract_z
Mn1 0.0000 0.0000 0.0000
Nb1 0.0000 0.0000 0.5000
As1 0.0000 0.0000 0.2526

---

# 11
# MnNb3As, optimized geometry, DFT GGA-PBE
# - offset from the most stable computed form (eV per atom) = 0.509
data_MnNb3As
_chemical_formula_sum 'Mn1 Nb3 As1'
_space_group_name_H-M_alt 'P m -3 m'
_space_group_IT_number 221
_space_group_name_Hall '-P 4 2 3'
_cell_length_a 4.7051
_cell_length_b 4.7051
_cell_length_c 4.7051
_cell_angle_alpha 90.00
_cell_angle_beta 90.00
_cell_angle_gamma 90.00
loop_
_atom_site_label
_atom_site_fract_x
_atom_site_fract_y
_atom_site_fract_z
Mn1 0.0000 0.0000 0.0000
Nb1 0.0000 0.5000 0.5000
As1 0.5000 0.5000 0.5000

---

# 12
# MnNbAsRh, optimized geometry, DFT GGA-PBE
# - calculated total energy (eV per atom) = -8.02
data_MnNbAsRh
_chemical_formula_sum 'Mn4 Nb4 As4 Rh4'
_space_group_name_H-M_alt 'F -4 3 m'
_space_group_IT_number 216
_space_group_name_Hall 'F -4 2 3'
_cell_length_a 6.2162
_cell_length_b 6.2162
_cell_length_c 6.2162
_cell_angle_alpha 90.00
_cell_angle_beta 90.00
_cell_angle_gamma 90.00
loop_
_atom_site_label
_atom_site_fract_x
_atom_site_fract_y
_atom_site_fract_z
Mn1 0.0000 0.0000 0.0000
Nb1 0.2500 0.2500 0.2500
As1 0.0000 0.0000 0.5000
Rh1 0.2500 0.2500 0.7500

---

# 13
# MnNbAsRu, optimized geometry, DFT GGA-PBE
# - calculated total energy (eV per atom) = -8.41
data_MnNbAsRu
_chemical_formula_sum 'Mn4 Nb4 As4 Ru4'
_space_group_name_H-M_alt 'F -4 3 m'
_space_group_IT_number 216
_space_group_name_Hall 'F -4 2 3'
_cell_length_a 6.1807
_cell_length_b 6.1807
_cell_length_c 6.1807
_cell_angle_alpha 90.00
_cell_angle_beta 90.00
_cell_angle_gamma 90.00
loop_
_atom_site_label
_atom_site_fract_x
_atom_site_fract_y
_atom_site_fract_z
Mn1 0.0000 0.0000 0.0000
Nb1 0.2500 0.2500 0.7500
As1 0.0000 0.0000 0.5000
Ru1 0.2500 0.2500 0.2500

---

# 14
# ScMn2NbAs, optimized geometry, DFT GGA-PBE
# - calculated total energy (eV per atom) = -7.37
data_ScMn2NbAs
_chemical_formula_sum 'Sc1 Mn2 Nb1 As1'
_space_group_name_H-M_alt 'P 4/m m m'
_space_group_IT_number 123
_space_group_name_Hall '-P 4 2'
_cell_length_a 4.5183
_cell_length_b 4.5183
_cell_length_c 4.9226
_cell_angle_alpha 90.00
_cell_angle_beta 90.00
_cell_angle_gamma 90.00
loop_
_atom_site_label
_atom_site_fract_x
_atom_site_fract_y
_atom_site_fract_z
Sc1 0.0000 0.0000 0.0000
Mn1 0.0000 0.5000 0.5000
Nb1 0.5000 0.5000 0.0000
As1 0.0000 0.0000 0.5000

---

# 15
# MnNbAsSe2, optimized geometry, DFT GGA-PBE
# - offset from the most stable computed form (eV per atom) = 0.000
# - E_form (uncorrected) (eV per atom) = 0.31
data_MnNbAsSe2
_chemical_formula_sum 'Mn1 Nb1 As1 Se2'
_space_group_name_H-M_alt 'P 4/m m m'
_space_group_IT_number 123
_space_group_name_Hall '-P 4 2'
_cell_length_a 4.9062
_cell_length_b 4.9062
_cell_length_c 4.9656
_cell_angle_alpha 90.00
_cell_angle_beta 90.00
_cell_angle_gamma 90.00
loop_
_atom_site_label
_atom_site_fract_x
_atom_site_fract_y
_atom_site_fract_z
Mn1 0.0000 0.0000 0.0000
Nb1 0.5000 0.5000 0.5000
As1 0.5000 0.5000 0.0000
Se1 0.0000 0.5000 0.5000

---

# 16
# MnNbAs2Se, optimized geometry, DFT GGA-PBE
# - offset from the most stable computed form (eV per atom) = 0.000
# - E_form (uncorrected) (eV per atom) = 0.54
data_MnNbAs2Se
_chemical_formula_sum 'Mn1 Nb1 As2 Se1'
_space_group_name_H-M_alt 'P 4/m m m'
_space_group_IT_number 123
_space_group_name_Hall '-P 4 2'
_cell_length_a 4.5759
_cell_length_b 4.5759
_cell_length_c 4.8912
_cell_angle_alpha 90.00
_cell_angle_beta 90.00
_cell_angle_gamma 90.00
loop_
_atom_site_label
_atom_site_fract_x
_atom_site_fract_y
_atom_site_fract_z
Mn1 0.0000 0.0000 0.0000
Nb1 0.5000 0.5000 0.5000
As1 0.0000 0.5000 0.0000
Se1 0.0000 0.0000 0.5000

---

# 17
# MnNbAsSe2, optimized geometry, DFT GGA-PBE
# - offset from the most stable computed form (eV per atom) = 0.335
# - E_form (uncorrected) (eV per atom) = 0.64
data_MnNbAsSe2
_chemical_formula_sum 'Mn1 Nb1 As1 Se2'
_space_group_name_H-M_alt 'P 4/m m m'
_space_group_IT_number 123
_space_group_name_Hall '-P 4 2'
_cell_length_a 4.6375
_cell_length_b 4.6375
_cell_length_c 4.5129
_cell_angle_alpha 90.00
_cell_angle_beta 90.00
_cell_angle_gamma 90.00
loop_
_atom_site_label
_atom_site_fract_x
_atom_site_fract_y
_atom_site_fract_z
Mn1 0.0000 0.0000 0.0000
Nb1 0.5000 0.5000 0.5000
As1 0.0000 0.0000 0.5000
Se1 0.0000 0.5000 0.0000

---

# 18
# MnNbAs2Se, optimized geometry, DFT GGA-PBE
# - offset from the most stable computed form (eV per atom) = 0.465
# - E_form (uncorrected) (eV per atom) = 1.00
data_MnNbAs2Se
_chemical_formula_sum 'Mn1 Nb1 As2 Se1'
_space_group_name_H-M_alt 'P 4/m m m'
_space_group_IT_number 123
_space_group_name_Hall '-P 4 2'
_cell_length_a 5.0125
_cell_length_b 5.0125
_cell_length_c 4.9452
_cell_angle_alpha 90.00
_cell_angle_beta 90.00
_cell_angle_gamma 90.00
loop_
_atom_site_label
_atom_site_fract_x
_atom_site_fract_y
_atom_site_fract_z
Mn1 0.0000 0.0000 0.0000
Nb1 0.5000 0.5000 0.5000
As1 0.0000 0.5000 0.5000
Se1 0.5000 0.5000 0.0000

---

# 19
# Mn2NbSnAs, optimized geometry, DFT GGA-PBE
# - calculated total energy (eV per atom) = -6.27
data_Mn2NbSnAs
_chemical_formula_sum 'Mn2 Nb1 Sn1 As1'
_space_group_name_H-M_alt 'P 4/m m m'
_space_group_IT_number 123
_space_group_name_Hall '-P 4 2'
_cell_length_a 4.7291
_cell_length_b 4.7291
_cell_length_c 5.3655
_cell_angle_alpha 90.00
_cell_angle_beta 90.00
_cell_angle_gamma 90.00
loop_
_atom_site_label
_atom_site_fract_x
_atom_site_fract_y
_atom_site_fract_z
Mn1 0.0000 0.5000 0.0000
Nb1 0.0000 0.0000 0.0000
Sn1 0.0000 0.0000 0.5000
As1 0.5000 0.5000 0.5000

---

# 20
# SrMn2NbAs, optimized geometry, DFT GGA-PBE
# - calculated total energy (eV per atom) = -6.62
data_SrMn2NbAs
_chemical_formula_sum 'Sr1 Mn2 Nb1 As1'
_space_group_name_H-M_alt 'P 4/m m m'
_space_group_IT_number 123
_space_group_name_Hall '-P 4 2'
_cell_length_a 4.9314
_cell_length_b 4.9314
_cell_length_c 5.0627
_cell_angle_alpha 90.00
_cell_angle_beta 90.00
_cell_angle_gamma 90.00
loop_
_atom_site_label
_atom_site_fract_x
_atom_site_fract_y
_atom_site_fract_z
Sr1 0.0000 0.0000 0.0000
Mn1 0.0000 0.5000 0.5000
Nb1 0.5000 0.5000 0.5000
As1 0.5000 0.5000 0.0000

---

Number 1: D(E_F) 0.835 states/eV per atom. Number 2: D(E_F) 0.235 states/eV per atom. Number 3: D(E_F) 0.550 states/eV per atom. Number 4: D(E_F) 1.682 states/eV per atom. Number 5: D(E_F) 1.305 states/eV per atom. Number 6: D(E_F) 2.052 states/eV per atom. Number 7: D(E_F) 1.371 states/eV per atom. Number 8: D(E_F) 0.457 states/eV per atom. Number 9: D(E_F) 0.623 states/eV per atom. Number 10: D(E_F) 0.600 states/eV per atom. Number 11: D(E_F) 2.134 states/eV per atom. Number 12: D(E_F) 0.684 states/eV per atom. Number 13: D(E_F) 0.715 states/eV per atom. Number 14: D(E_F) 1.006 states/eV per atom. Number 15: D(E_F) 0.489 states/eV per atom. Number 16: D(E_F) 0.747 states/eV per atom. Number 17: D(E_F) 2.000 states/eV per atom. Number 18: D(E_F) 2.099 states/eV per atom. Number 19: D(E_F) 0.787 states/eV per atom. Number 20: D(E_F) 0.484 states/eV per atom.